No. 1
A plane-wave DFT calculation with PBE was carried out for a relaxed structure of LiSmPO.

## Properties
Offset from the most stable computed form   0.0 meV per atom
Raw total energy   -23.95 eV/f.u.

Lattice parameters (Å, degrees): 3.904 3.904 9.054 90.00 90.00 90.00
Positions (direct):
Li1 0.000 0.000 0.500
Li2 0.500 0.500 0.500
O1 0.000 0.000 0.000
O2 0.500 0.500 0.000
P1 0.500 0.000 0.326
P2 0.000 0.500 0.674
Sm1 0.000 0.500 0.131
Sm2 0.500 0.000 0.869

***

No. 2
A plane-wave DFT calculation with PBE was carried out for a relaxed structure of Hf2ZrCd.

## Properties
Formation energy   0.13 eV per atom
Raw total energy   -28.83 eV/f.u.

Lattice parameters (Å, degrees): 4.958 4.958 4.958 60.00 60.00 60.00
Site moments in Bohr magnetons follow the coordinates.
Positions (direct):
Cd1 0.500 0.500 0.500  0.00
Hf1 0.000 0.000 0.000  0.06
Hf2 0.250 0.250 0.250  0.02
Zr1 0.750 0.750 0.750  0.01

***

No. 3
A plane-wave DFT calculation with PBE was carried out for a relaxed structure of CdTeO3.

## Properties
Raw total energy   -23.51 eV/f.u.

Lattice parameters (Å, degrees): 5.675 5.844 8.208 90.00 90.00 90.00
Positions (direct):
Cd1 0.989 0.046 0.250
Cd2 0.511 0.546 0.250
Cd3 0.489 0.454 0.750
Cd4 0.011 0.954 0.750
O1 0.688 0.309 0.067
O2 0.812 0.809 0.067
O3 0.127 0.423 0.250
O4 0.373 0.923 0.250
O5 0.688 0.309 0.433
O6 0.812 0.809 0.433
O7 0.188 0.191 0.567
O8 0.312 0.691 0.567
O9 0.627 0.077 0.750
O10 0.873 0.577 0.750
O11 0.188 0.191 0.933
O12 0.312 0.691 0.933
Te1 0.500 0.000 0.000
Te2 0.000 0.500 0.000
Te3 0.500 0.000 0.500
Te4 0.000 0.500 0.500